# 1
This record from Alexandria describes a geometry-optimized LiSc5Tl4 structure. The functional is PBE-GGA.

Cell: 3.477 3.477 18.844 Å, 90.00 90.00 90.00°
Atoms (fractional coordinates):
1 Li 0.000 0.000 0.000
2 Sc 0.500 0.500 0.087
3 Sc 0.500 0.500 0.292
4 Sc 0.500 0.500 0.500
5 Sc 0.500 0.500 0.708
6 Sc 0.500 0.500 0.913
7 Tl 0.000 0.000 0.186
8 Tl 0.000 0.000 0.395
9 Tl 0.000 0.000 0.605
10 Tl 0.000 0.000 0.814

Summary:
D(E_F) in states/eV/cell: 9.3
Total moment in Bohr magnetons per cell: 1.0
Energy relative to the elements in meV/atom: -189
Energy in eV/cell: -44.93

***

# 2
This record from Alexandria describes a geometry-optimized Li2Sc3Tl4 structure. The functional is PBE-GGA.

Cell: 5.808 5.808 9.091 Å, 117.70 117.70 48.78°
Atoms (fractional coordinates):
1 Li 0.117 0.117 0.292
2 Li 0.883 0.883 0.708
3 Sc 0.160 0.160 0.663
4 Sc 0.500 0.500 0.000
5 Sc 0.840 0.840 0.337
6 Tl 0.217 0.217 0.077
7 Tl 0.436 0.436 0.617
8 Tl 0.564 0.564 0.383
9 Tl 0.783 0.783 0.923

Summary:
D(E_F) in states/eV/cell: 6.2
Total moment in Bohr magnetons per cell: 0.0
Energy relative to the elements in meV/atom: -210
Energy in eV/cell: -34.17

***

# 3
This record from Alexandria describes a geometry-optimized Li2ScTl2 structure. The functional is PBE-GGA.

Cell: 5.239 5.239 6.445 Å, 126.89 126.89 52.91°
Atoms (fractional coordinates):
1 Li 0.044 0.044 0.353
2 Li 0.956 0.956 0.647
3 Sc 0.500 0.500 0.000
4 Tl 0.289 0.289 0.249
5 Tl 0.711 0.711 0.751

Summary:
D(E_F) in states/eV/cell: 2.8
Total moment in Bohr magnetons per cell: 0.0
Energy relative to the elements in meV/atom: -164
Energy in eV/cell: -15.71
Distance to the lowest polymorph of the same formula in meV/atom: 12.0